1.
# NaRuC2O6

NaRuC2O6 after structural relaxation (GGA-PBE, Alexandria).

Cell and atoms, written as POSCAR:
```
NaRuC2O6
1.0
4.828 0.000 0.000
2.414 4.181 0.000
2.414 1.394 5.398
Ru O Na C
1 6 1 2
Direct
0.500 0.500 0.500
0.041 0.504 0.714
0.959 0.496 0.286
0.504 0.741 0.714
0.496 0.259 0.286
0.741 0.041 0.714
0.259 0.959 0.286
0.000 0.000 0.000
0.763 0.763 0.710
0.237 0.237 0.290
```

Output
volume: 10.9 Å³ per atom
DFT total energy: -7.16 eV/atom
formation energy from raw total energies: -1.28 eV per atom
crystal system: trigonal
symmetry: R-3

---

2.
# NaRu2CO

NaRu2CO after structural relaxation (GGA-PBE, Alexandria).

Cell and atoms, written as POSCAR:
```
NaRu2CO
1.0
3.958 0.000 0.000
0.000 4.209 0.000
0.000 0.000 3.958
Ru O Na C
2 1 1 1
Direct
0.000 0.000 0.500
0.500 0.000 0.000
0.000 0.000 0.000
0.000 0.500 0.000
0.500 0.500 0.500
```

Output
volume: 13.2 Å³ per atom
DFT total energy: -5.68 eV/atom
formation energy from raw total energies: 1.13 eV per atom
crystal system: tetragonal
symmetry: P4/mmm

---

3.
# Na2SnCSO7

Na2SnCSO7 after structural relaxation (GGA-PBE, Alexandria).

Cell and atoms, written as POSCAR:
```
Na2SnCSO7
1.0
7.066 0.000 0.000
0.000 5.433 -0.097
0.000 0.264 9.611
Na O C S Sn
4 14 2 2 2
Direct
0.490 0.265 0.806
0.990 0.735 0.194
0.510 0.735 0.194
0.010 0.265 0.806
0.921 0.107 0.328
0.750 0.568 0.820
0.579 0.107 0.328
0.750 0.499 0.317
0.250 0.432 0.180
0.250 0.501 0.683
0.750 0.256 0.532
0.750 0.979 0.823
0.250 0.021 0.177
0.250 0.744 0.468
0.421 0.893 0.672
0.750 0.766 0.027
0.250 0.234 0.973
0.079 0.893 0.672
0.750 0.770 0.896
0.250 0.230 0.104
0.250 0.753 0.624
0.750 0.247 0.376
0.750 0.793 0.613
0.250 0.207 0.387
```

Output
volume: 15.4 Å³ per atom
DFT total energy: -6.15 eV/atom
formation energy from raw total energies: -1.60 eV per atom
crystal system: monoclinic
symmetry: P2_1/m

---

4.
# Na6Sn2C4SO16

Na6Sn2C4SO16 after structural relaxation (GGA-PBE, Alexandria).

Cell and atoms, written as POSCAR:
```
Na6Sn2C4SO16
1.0
-5.649 -7.667 -4.025
3.115 -4.723 -8.653
3.472 -9.731 0.385
S O Na C Sn
2 32 12 8 4
Direct
0.750 0.750 0.750
0.500 0.500 0.500
0.227 0.939 0.480
0.354 0.480 0.939
0.559 0.559 0.323
0.770 0.311 0.896
0.227 0.354 0.939
0.480 0.939 0.354
0.939 0.480 0.227
0.354 0.939 0.227
0.480 0.227 0.939
0.023 0.311 0.770
0.311 0.023 0.896
0.770 0.896 0.023
0.559 0.323 0.559
0.559 0.559 0.559
0.896 0.770 0.311
0.311 0.896 0.770
0.227 0.480 0.354
0.896 0.311 0.023
0.023 0.770 0.896
0.323 0.559 0.559
0.770 0.023 0.311
0.927 0.691 0.691
0.311 0.770 0.023
0.939 0.354 0.480
0.691 0.691 0.927
0.896 0.023 0.770
0.691 0.927 0.691
0.354 0.227 0.480
0.939 0.227 0.354
0.023 0.896 0.311
0.480 0.354 0.227
0.691 0.691 0.691
0.958 0.542 0.958
0.292 0.708 0.708
0.542 0.958 0.958
0.542 0.958 0.542
0.708 0.292 0.708
0.542 0.542 0.958
0.958 0.542 0.542
0.292 0.292 0.708
0.708 0.708 0.292
0.292 0.708 0.292
0.708 0.292 0.292
0.958 0.958 0.542
0.310 0.897 0.897
0.897 0.897 0.310
0.353 0.940 0.353
0.897 0.310 0.897
0.940 0.353 0.353
0.353 0.353 0.940
0.897 0.897 0.897
0.353 0.353 0.353
0.125 0.125 0.125
0.125 0.125 0.625
0.125 0.625 0.125
0.625 0.125 0.125
```

Output
volume: 13.5 Å³ per atom
DFT total energy: -6.30 eV/atom
formation energy from raw total energies: -1.60 eV per atom
crystal system: cubic
symmetry: Fd-3